40
Lattice="-4.910 -0.218 -2.288 2.915 -6.994 0.454 -5.699 -1.572 12.378" Properties=species:S:1:pos:R:3 comment="NaYSi2O6 (GGA-PBEsol, optimized geometry)" raw_formation_energy_ev_per_atom=-2.937 sg="P2_1/c, No. 14" pbc="T T T"
Y -9.751 -3.510 10.156
Y -5.526 -6.244 4.374
Y 2.056 -5.273 0.388
Y -2.168 -2.540 6.170
O -7.781 -5.042 9.985
O -2.439 -5.048 0.288
O -3.046 -3.090 3.977
O -4.060 -7.044 10.578
O -2.738 -1.023 2.393
O -1.293 -4.523 2.648
O -0.110 -6.179 0.993
O -3.631 -5.637 3.353
O -4.648 -5.694 6.566
O -3.475 -0.825 4.902
O -4.219 -7.958 5.641
O -5.922 -3.985 5.301
O -6.615 -8.075 10.198
O -2.487 -6.871 7.636
O -5.255 -3.735 10.255
O -3.634 -1.739 -0.034
O -4.956 -7.760 8.151
O -5.207 -1.913 2.908
O 0.087 -3.742 0.558
O -7.584 -2.604 9.551
O -1.079 -0.708 0.346
O -6.401 -4.260 7.896
O -1.772 -4.798 5.243
O -4.063 -3.146 7.191
Si -3.755 -1.654 3.543
Si -3.939 -7.129 7.001
Si -6.657 -3.980 9.512
Si -5.223 -4.148 6.744
Si -2.471 -4.635 3.800
Si -2.634 -0.781 0.763
Si -5.060 -8.002 9.781
Si -1.037 -4.803 1.032
Na -3.033 -7.245 1.802
Na -3.442 -5.101 9.487
Na -4.661 -1.538 8.742
Na -4.252 -3.683 1.057